# Na7Cd5 | Alexandria | GGA-PBE | optimized geometry
data_Na7Cd5
_chemical_formula_sum 'Na14 Cd10'
_symmetry_space_group_name_H-M 'C 1 2/m 1'
_symmetry_Int_Tables_number 12
_cell_length_a 11.293
_cell_length_b 5.362
_cell_length_c 11.755
_cell_angle_alpha 90.00
_cell_angle_beta 110.06
_cell_angle_gamma 90.00
loop_
_symmetry_equiv_pos_as_xyz
'x,y,z'
'-x,-y,-z'
'-x,y,-z'
'x,-y,z'
'x+1/2,y+1/2,z'
'-x+1/2,-y+1/2,-z'
'-x+1/2,y+1/2,-z'
'x+1/2,-y+1/2,z'
loop_
_atom_site_label
_atom_site_fract_x
_atom_site_fract_y
_atom_site_fract_z
Na1 0.000 0.000 0.000
Na2 0.085 0.000 0.757
Na3 0.094 0.500 0.210
Na4 0.169 0.000 0.509
Cd1 0.000 0.500 0.500
Cd2 0.196 0.500 0.958
Cd3 0.232 0.500 0.716
# DFT formation energy, kJ per mole of atoms: -6
# Offset from the most stable computed form, meV per atom: 2
# Total magnetization, Bohr magnetons per cell: 0.00